No. 1
Density functional theory data (GGA-PBEsol) for a relaxed LaAl2Pt crystal.

The structure belongs to space group R-3m (No. 166, hexagonal axes); the cell edges are 4.2285, 4.2285 and 16.4047 Å and the angles 90.00°, 90.00° and 120.00°. The distinct sites, in fractional coordinates, are La at (0.0000, 0.0000, 0.0000), Al at (0.0000, 0.0000, 0.2071) and Pt at (0.0000, 0.0000, 0.5000).

Its volume is 21.2 Å³ per atom. Its crystal system is trigonal. The total DFT energy (no corrections) is -5.97 eV/atom. For the density, the calculation gives 7.61 g cm⁻³. For the energy of formation from the pure elements, the calculation gives -327.1 kJ/mol of formula units. As for the total magnetic moment: 0.00 μB per formula unit.

---

No. 2
Density functional theory data (GGA-PBEsol) for a relaxed KRb2TmCl6 crystal.

The structure belongs to space group Fm-3m (No. 225); the cell edges are 10.955, 10.955 and 10.955 Å and the angles 90.00°, 90.00° and 90.00°. The distinct sites, in fractional coordinates, are K at (0.000, 0.000, 0.000), Rb at (0.250, 0.250, 0.250), Tm at (0.000, 0.000, 0.500) and Cl at (0.000, 0.000, 0.266).

Its volume is 32.9 Å³ per atom. Its crystal system is cubic. The total DFT energy (no corrections) is -4.10 eV/atom. For the density, the calculation gives 2.99 g cm⁻³. For the uncorrected formation energy, the calculation gives -2091 meV per atom. As for the total magnetic moment: 0.00 μB per formula unit.

---

No. 3
Density functional theory data (GGA-PBEsol) for a relaxed CaSi2Ni crystal.

The structure belongs to space group R-3m (No. 166, hexagonal axes); the cell edges are 3.8473, 3.8473 and 15.9359 Å and the angles 90.00°, 90.00° and 120.00°. The distinct sites, in fractional coordinates, are Ca at (0.0000, 0.0000, 0.0000), Si at (0.0000, 0.0000, 0.2085) and Ni at (0.0000, 0.0000, 0.5000).

Its volume is 17.0 Å³ per atom. Its crystal system is trigonal. The total DFT energy (no corrections) is -5.58 eV/atom. For the density, the calculation gives 3.78 g cm⁻³. For the uncorrected formation energy, the calculation gives -633 meV per atom. As for the total magnetic moment: 0.00 μB per formula unit.

---

No. 4
Density functional theory data (GGA-PBEsol) for a relaxed BP4S3Br3 crystal.

The structure belongs to space group P2_1/m (No. 11); the cell edges are 6.409, 10.714 and 8.701 Å and the angles 90.00°, 109.24° and 90.00°. The distinct sites, in fractional coordinates, are B at (0.176, 0.250, 0.277), P at (0.131, 0.250, 0.842), P at (0.248, 0.250, 0.517), P at (0.450, 0.144, 0.875), S at (0.030, 0.750, 0.411), S at (0.430, 0.097, 0.636), Br at (0.006, 0.094, 0.198) and Br at (0.469, 0.250, 0.236).

Its volume is 25.6 Å³ per atom. Its crystal system is monoclinic. The total DFT energy (no corrections) is -4.71 eV/atom. For the density, the calculation gives 2.77 g cm⁻³. For the uncorrected formation energy, the calculation gives -265 meV per atom. As for the total magnetic moment: 0.00 μB per formula unit.

---

No. 5
Density functional theory data (GGA-PBEsol) for a relaxed YCdS2N crystal.

The structure belongs to space group P4/mmm (No. 123); the cell edges are 5.216, 5.216 and 4.335 Å and the angles 90.00°, 90.00° and 90.00°. The distinct sites, in fractional coordinates, are Y at (0.000, 0.000, 0.000), Cd at (0.500, 0.500, 0.500), S at (0.000, 0.500, 0.000) and N at (0.000, 0.000, 0.500).

The value obtained for the polymorph energy (0 for the lowest one) is 0 meV/atom. Its volume is 23.6 Å³ per atom. Its crystal system is tetragonal. The total DFT energy (no corrections) is -5.01 eV/atom. For the density, the calculation gives 3.93 g cm⁻³. For the uncorrected formation energy, the calculation gives 56 meV per atom. As for the total magnetic moment: 2.10 μB per formula unit.

---

No. 6
Density functional theory data (GGA-PBEsol) for a relaxed MgBe2Mo crystal.

The structure belongs to space group I-4m2 (No. 119); the cell edges are 3.503, 3.503 and 8.193 Å and the angles 90.00°, 90.00° and 90.00°. The distinct sites, in fractional coordinates, are Mg at (0.000, 0.000, 0.000), Be at (0.000, 0.000, 0.500), Be at (0.000, 0.500, 0.750) and Mo at (0.000, 0.500, 0.250).

Its volume is 12.6 Å³ per atom. Its crystal system is tetragonal. The total DFT energy (no corrections) is -4.96 eV/atom. For the density, the calculation gives 4.57 g cm⁻³. For the energy of formation from the pure elements, the calculation gives 157.4 kJ/mol of formula units. As for the total magnetic moment: 0.00 μB per formula unit.